(1)
Computed, not measured: a crystal of MgTl2 relaxed with PBEsol at the SCAN level of DFT.

Results
The space group is Immm (71). For the volume, the calculation gives 26.364 Å³/atom.

Lattice parameters (Å, degrees): 3.405 5.459 8.511 90.00 90.00 90.00
Element x y z (fractional)
Mg  0.500  0.500  0.500
Mg  0.000  0.000  0.000
Tl  0.000  0.501  0.814
Tl  0.500  0.999  0.314
Tl  0.000  0.499  0.186
Tl  0.500  0.001  0.686

=====

(2)
Computed, not measured: a crystal of MgTl2 relaxed with PBEsol at the SCAN level of DFT.

Results
The space group is I4_1/amd (141). For the volume, the calculation gives 25.988 Å³/atom.

Lattice parameters (Å, degrees): 3.378 3.378 13.875 96.99 96.99 90.00
Element x y z (fractional)
Mg  0.250  0.750  0.500
Mg  0.000  0.000  0.000
Tl  0.576  0.576  0.151
Tl  0.674  0.174  0.349
Tl  0.424  0.424  0.849
Tl  0.826  0.326  0.651

=====

(3)
Computed, not measured: a crystal of MgTl2 relaxed with PBEsol at the SCAN level of DFT.

Results
The space group is P6_3/mmc (194). For the volume, the calculation gives 25.964 Å³/atom.

Lattice parameters (Å, degrees): 5.359 5.359 6.264 90.00 90.00 120.00
Element x y z (fractional)
Tl  0.333  0.667  0.750
Tl  0.000  0.000  0.000
Tl  0.667  0.333  0.250
Tl  0.000  0.000  0.500
Mg  0.667  0.333  0.750
Mg  0.333  0.667  0.250

=====

(4)
Computed, not measured: a crystal of MgTl2 relaxed with PBEsol at the SCAN level of DFT.

Results
The space group is I4/mmm (139). For the volume, the calculation gives 25.568 Å³/atom.

Lattice parameters (Å, degrees): 3.567 3.567 6.535 105.84 105.84 90.00
Element x y z (fractional)
Tl  0.158  0.158  0.317
Tl  0.842  0.842  0.683
Mg  0.500  0.500  0.000

=====

Which one sits at the bottom of the stability order? (3) does.